# 1
Entry from the Alexandria database: a relaxed La2NbTlGe crystal (PBE-GGA).

- energy of formation (eV/atom) = 0.6201
- M_tot (μB/cell) = 3.868

Lattice parameters (Å, degrees): 5.7670 5.7670 5.1385 90.00 90.00 90.00
Space group P4/mmm (No. 123)
Unique sites:
La  0.0000  0.5000  0.0000 (multiplicity 2)
Nb  0.0000  0.0000  0.5000 (multiplicity 1)
Tl  0.5000  0.5000  0.5000 (multiplicity 1)
Ge  0.5000  0.5000  0.0000 (multiplicity 1)


# 2
Entry from the Alexandria database: a relaxed La2NbVGe crystal (PBE-GGA).

- energy of formation (eV/atom) = 0.6061
- M_tot (μB/cell) = 1.536

Lattice parameters (Å, degrees): 5.5462 5.5462 4.6421 90.00 90.00 90.00
Space group P4/mmm (No. 123)
Unique sites:
La  0.0000  0.5000  0.0000 (multiplicity 2)
Nb  0.0000  0.0000  0.0000 (multiplicity 1)
V  0.0000  0.0000  0.5000 (multiplicity 1)
Ge  0.5000  0.5000  0.5000 (multiplicity 1)


# 3
Entry from the Alexandria database: a relaxed LaNb2VGe crystal (PBE-GGA).

- energy of formation (eV/atom) = 2.1934
- M_tot (μB/cell) = 0.112

Lattice parameters (Å, degrees): 4.9018 4.9018 5.3158 90.00 90.00 90.00
Space group P4/mmm (No. 123)
Unique sites:
La  0.0000  0.0000  0.0000 (multiplicity 1)
Nb  0.0000  0.5000  0.0000 (multiplicity 2)
V  0.5000  0.5000  0.5000 (multiplicity 1)
Ge  0.0000  0.0000  0.5000 (multiplicity 1)


# 4
Entry from the Alexandria database: a relaxed La2Nd5Ge4 crystal (PBE-GGA).

- energy of formation (eV/atom) = -0.2628
- M_tot (μB/cell) = 0.000

Lattice parameters (Å, degrees): 4.4203 11.9354 14.0816 90.00 90.00 90.00
Space group Immm (No. 71)
Unique sites:
La  0.0000  0.0000  0.2035 (multiplicity 4)
Nd  0.0000  0.3264  0.1397 (multiplicity 8)
Nd  0.0000  0.5000  0.5000 (multiplicity 2)
Ge  0.0000  0.0000  0.4093 (multiplicity 4)
Ge  0.0000  0.1540  0.0000 (multiplicity 4)


M_tot of number 2 (La2NbVGe)? 1.536 μB/cell


What is the energy of formation in the third record? 2.1934 eV/atom


energy of formation of number 3 (LaNb2VGe)? 2.1934 eV/atom


Which value of M_tot does entry 2 give? 1.536 μB/cell